Record 1
Sm7Zn2Pb2 | GGA-PBE | relaxed

Cell lengths 7.0330, 7.0330, 7.4230 Å; angles 90.00, 90.00, 109.12 degrees
Closest atoms and distances in Å follow each position.
Atoms (fractional coordinates):
Sm 0.0000 0.0000 0.0000  2 Zn 3.25
Sm 0.0000 0.5000 0.2737  2 Zn 2.90
Sm 0.0000 0.5000 0.7263  2 Zn 2.90
Sm 0.5000 0.0000 0.2737  2 Zn 2.90
Sm 0.5000 0.0000 0.7263  2 Zn 2.90
Sm 0.5000 0.5000 0.2321  2 Zn 3.02, 2 Pb 3.24
Sm 0.5000 0.5000 0.7679  2 Zn 3.02, 2 Pb 3.24
Zn 0.2837 0.7163 0.0000  7 Sm 2.90-3.25
Zn 0.7163 0.2837 0.0000  7 Sm 2.90-3.25
Pb 0.1861 0.1861 0.5000  1 Pb 3.04, 6 Sm 3.24-3.36
Pb 0.8139 0.8139 0.5000  1 Pb 3.04, 6 Sm 3.24-3.36

Calculated values
Space-group type   Cmmm
ΔE_f   -0.7 eV/f.u.
Calculated density   7648 kg/m3
Crystal system   orthorhombic
Total moment   0.003 μB per cell

Record 2
Ir2C | GGA-PBE | relaxed

Cell lengths 5.3633, 5.3633, 5.0018 Å; angles 90.00, 90.00, 147.39 degrees
Closest atoms and distances in Å follow each position.
Atoms (fractional coordinates):
Ir 0.0640 0.9360 0.7500  2 C 2.04
Ir 0.1953 0.8047 0.2500  2 C 1.99
Ir 0.8047 0.1953 0.7500  2 C 1.99
Ir 0.9360 0.0640 0.2500  2 C 2.04
C 0.4306 0.5694 0.7500  4 Ir 1.99-2.04
C 0.5694 0.4306 0.2500  4 Ir 1.99-2.04

Calculated values
Space-group type   Cmcm
ΔE_f   2.5 eV/f.u.
Calculated density   16980 kg/m3
Crystal system   orthorhombic
Total moment   0.000 μB per cell

Record 3
SrNbNF2 | GGA-PBE | relaxed

Cell lengths 4.3555, 4.3555, 4.1397 Å; angles 90.00, 90.00, 90.00 degrees
Closest atoms and distances in Å follow each position.
Atoms (fractional coordinates):
Sr 0.0000 0.0000 0.0000  8 F 3.00, 4 N 3.08
Nb 0.5000 0.5000 0.5000  2 N 2.07, 4 F 2.18
N 0.5000 0.5000 0.0000  2 Nb 2.07
F 0.0000 0.5000 0.5000  2 Nb 2.18
F 0.5000 0.0000 0.5000  2 Nb 2.18

Calculated values
Space-group type   P4/mmm
Calculated density   4917 kg/m3
Crystal system   tetragonal
Total moment   1.390 μB per cell
Formation energy without anion corrections   -174.0 kJ per mole of atoms

Record 4
ThAl3Rh4 | GGA-PBE | relaxed

Cell lengths 8.8468, 8.8468, 8.8468 Å; angles 27.60, 27.60, 27.60 degrees
Closest atoms and distances in Å follow each position.
Atoms (fractional coordinates):
Th 0.0000 0.0000 0.0000  6 Rh 2.98
Al 0.2356 0.2356 0.2356  7 Rh 2.56-2.63
Al 0.5000 0.5000 0.5000  8 Rh 2.54-2.59
Al 0.7644 0.7644 0.7644  7 Rh 2.56-2.63
Rh 0.1325 0.1325 0.1325  7 Al 2.59-2.63
Rh 0.4006 0.4006 0.4006  4 Al 2.54-2.56
Rh 0.5994 0.5994 0.5994  4 Al 2.54-2.56
Rh 0.8675 0.8675 0.8675  7 Al 2.59-2.63

Calculated values
Space-group type   R-3m
ΔE_f   -7.9 eV/f.u.
Calculated density   9169 kg/m3
Crystal system   trigonal
Total moment   0.000 μB per cell

Record 5
BaPbAu3 | GGA-PBE | relaxed

Cell lengths 5.9108, 5.9108, 5.9108 Å; angles 90.00, 90.00, 90.00 degrees
Closest atoms and distances in Å follow each position.
Atoms (fractional coordinates):
Ba 0.0000 0.0000 0.0000  6 Au 2.96
Pb 0.5000 0.5000 0.5000  12 Au 4.18
Au 0.0000 0.0000 0.5000  2 Ba 2.96
Au 0.0000 0.5000 0.0000  2 Ba 2.96
Au 0.5000 0.0000 0.0000  2 Ba 2.96

Calculated values
Space-group type   Pm-3m
ΔE_f   2.6 eV/f.u.
Calculated density   7522 kg/m3
Crystal system   cubic
Total moment   0.000 μB per cell

Record 6
NpAgTeO6 | GGA-PBE | relaxed

Cell lengths 5.7103, 5.7103, 9.8740 Å; angles 90.00, 90.00, 120.00 degrees
Closest atoms and distances in Å follow each position.
Atoms (fractional coordinates):
Np 0.3333 0.6667 0.2500  6 O 2.06
Np 0.6667 0.3333 0.7500  6 O 2.06
Ag 0.0000 0.0000 0.0000  6 O 2.53
Ag 0.0000 0.0000 0.5000  6 O 2.53
Te 0.3333 0.6667 0.7500  6 O 2.16
Te 0.6667 0.3333 0.2500  6 O 2.16
O 0.0129 0.3755 0.1411  1 Np 2.06, 1 Te 2.16
O 0.0129 0.6375 0.3589  1 Np 2.06, 1 Te 2.16
O 0.3625 0.3755 0.3589  1 Np 2.06, 1 Te 2.16
O 0.3625 0.9871 0.1411  1 Np 2.06, 1 Te 2.16
O 0.3755 0.0129 0.6411  1 Np 2.06, 1 Te 2.16
O 0.3755 0.3625 0.8589  1 Np 2.06, 1 Te 2.16
O 0.6245 0.6375 0.1411  1 Np 2.06, 1 Te 2.16
O 0.6245 0.9871 0.3589  1 Np 2.06, 1 Te 2.16
O 0.6375 0.0129 0.8589  1 Np 2.06, 1 Te 2.16
O 0.6375 0.6245 0.6411  1 Np 2.06, 1 Te 2.16
O 0.9871 0.3625 0.6411  1 Np 2.06, 1 Te 2.16
O 0.9871 0.6245 0.8589  1 Np 2.06, 1 Te 2.16

Calculated values
Space-group type   P-31c
Calculated density   6771 kg/m3
Crystal system   trigonal
Total moment   0.000 μB per cell
Formation energy without anion corrections   -145.4 kJ per mole of atoms

Record 7
AlPd2Rh2 | GGA-PBE | relaxed

Cell lengths 6.2578, 6.2578, 4.0261 Å; angles 90.00, 90.00, 90.00 degrees
Closest atoms and distances in Å follow each position.
Atoms (fractional coordinates):
Al 0.0000 0.0000 0.0000  4 Rh 2.42
Al 0.5000 0.5000 0.0000  4 Rh 2.42
Pd 0.1638 0.3362 0.5000  6 Rh 2.66-2.77, 1 Pd 2.90
Pd 0.3362 0.8362 0.5000  6 Rh 2.66-2.77, 1 Pd 2.90
Pd 0.6638 0.1638 0.5000  6 Rh 2.66-2.77, 1 Pd 2.90
Pd 0.8362 0.6638 0.5000  6 Rh 2.66-2.77, 1 Pd 2.90
Rh 0.1403 0.6403 0.0000  2 Al 2.42, 1 Rh 2.48, 2 Pd 2.66
Rh 0.3597 0.1403 0.0000  2 Al 2.42, 1 Rh 2.48, 2 Pd 2.66
Rh 0.6403 0.8597 0.0000  2 Al 2.42, 1 Rh 2.48, 2 Pd 2.66
Rh 0.8597 0.3597 0.0000  2 Al 2.42, 1 Rh 2.48, 2 Pd 2.66

Calculated values
Space-group type   P4/mbm
ΔE_f   -0.6 eV/f.u.
Calculated density   9387 kg/m3
Crystal system   tetragonal
Total moment   0.000 μB per cell

Record 8
YTmSiAu | GGA-PBE | relaxed

Cell lengths 5.0181, 5.0181, 5.0181 Å; angles 60.00, 60.00, 60.00 degrees
Closest atoms and distances in Å follow each position.
Atoms (fractional coordinates):
Y 0.0000 0.0000 0.0000  4 Si 3.07, 4 Au 3.07
Tm 0.5000 0.5000 0.5000  4 Si 3.07, 4 Au 3.07
Si 0.7500 0.7500 0.7500  4 Tm 3.07, 4 Y 3.07
Au 0.2500 0.2500 0.2500  4 Tm 3.07, 4 Y 3.07

Calculated values
Space-group type   F-43m
Calculated density   8974 kg/m3
Crystal system   cubic
Total moment   0.010 μB per cell
Formation energy without anion corrections   -64.3 kJ per mole of atoms

Record 9
KMgRu2 | GGA-PBE | relaxed

Cell lengths 10.2092, 10.2092, 10.2092 Å; angles 153.91, 153.91, 37.23 degrees
Closest atoms and distances in Å follow each position.
Atoms (fractional coordinates):
K 0.0000 0.0000 0.0000  4 Mg 3.26, 4 Ru 3.38
K 0.7500 0.2500 0.5000  4 Mg 3.26, 4 Ru 3.38
Mg 0.2500 0.7500 0.5000  4 Ru 2.69
Mg 0.5000 0.5000 0.0000  4 Ru 2.69
Ru 0.3217 0.1250 0.6967  2 Ru 2.36
Ru 0.3750 0.6783 0.8033  2 Ru 2.36
Ru 0.4283 0.6250 0.3033  2 Ru 2.36
Ru 0.8750 0.5717 0.1967  2 Ru 2.36

Calculated values
Space-group type   I-42d
ΔE_f   4.2 eV/f.u.
Calculated density   4291 kg/m3
Crystal system   tetragonal
Total moment   0.000 μB per cell

Record 10
NdCdInBi | GGA-PBE | relaxed

Cell lengths 4.6227, 4.7819, 4.9665 Å; angles 90.00, 90.00, 90.00 degrees
Closest atoms and distances in Å follow each position.
Atoms (fractional coordinates):
Nd 0.0000 0.0000 0.0000  4 Bi 3.33, 4 In 3.39, 4 Cd 3.45
Cd 0.0000 0.5000 0.5000  4 In 3.33, 4 Bi 3.39, 4 Nd 3.45
In 0.5000 0.0000 0.5000  4 Cd 3.33, 4 Nd 3.39, 4 Bi 3.45
Bi 0.5000 0.5000 0.0000  4 Nd 3.33, 4 Cd 3.39, 4 In 3.45

Calculated values
Space-group type   Pmmm
ΔE_f   -1.8 eV/f.u.
Calculated density   8779 kg/m3
Crystal system   orthorhombic
Total moment   0.000 μB per cell

Record 11
Ac2AuN | GGA-PBE | relaxed

Cell lengths 3.9436, 3.9436, 8.0926 Å; angles 104.05, 104.05, 60.06 degrees
Closest atoms and distances in Å follow each position.
Atoms (fractional coordinates):
Ac 0.0000 0.0000 0.0000  3 N 2.71
Ac 0.2026 0.2026 0.6046  3 N 2.78-2.79
Au 0.7687 0.7687 0.3054  6 Ac 3.25-3.29
N 0.6039 0.6039 0.8108  6 Ac 2.71-2.79

Calculated values
Space-group type   Cm
Calculated density   10548 kg/m3
Crystal system   monoclinic
Total moment   0.000 μB per cell
Formation energy without anion corrections   -76.9 kJ per mole of atoms

Record 12
Y2TaAl | GGA-PBE | relaxed

Cell lengths 5.0548, 5.0548, 3.7746 Å; angles 90.00, 90.00, 90.00 degrees
Closest atoms and distances in Å follow each position.
Atoms (fractional coordinates):
Y 0.0000 0.5000 0.0000  4 Ta 3.15, 4 Al 3.15
Y 0.5000 0.0000 0.0000  4 Ta 3.15, 4 Al 3.15
Ta 0.0000 0.0000 0.5000  8 Y 3.15
Al 0.5000 0.5000 0.5000  8 Y 3.15

Calculated values
Space-group type   P4/mmm
ΔE_f   0.7 eV/f.u.
Calculated density   6641 kg/m3
Crystal system   tetragonal
Total moment   2.729 μB per cell